Entry 1:
DFT (PBE) results for a geometry-optimized HoSnI5 structure.

It has space group P2_1/m (No. 11), with a = 9.229 Å, b = 4.456 Å, c = 15.019 Å, α = 90.00°, β = 94.64° and γ = 90.00°. Symmetry generates all atoms from Ho at (0.092, 0.250, 0.149), Sn at (0.401, 0.750, 0.367), I at (0.110, 0.250, 0.797), I at (0.144, 0.250, 0.362), I at (0.176, 0.750, 0.014), I at (0.355, 0.750, 0.571) and I at (0.417, 0.250, 0.184).

The formation energy from raw total energies comes out at -957 meV per atom.

---

Entry 2:
DFT (PBE) results for a geometry-optimized K12Rb5In2 structure.

It has space group C2/m (No. 12), with a = 27.276 Å, b = 9.433 Å, c = 10.996 Å, α = 90.00°, β = 103.96° and γ = 90.00°. Symmetry generates all atoms from K at (0.007, 0.000, 0.310), K at (0.042, 0.500, 0.884), K at (0.126, 0.241, 0.189), K at (0.137, 0.236, 0.675), Rb at (0.000, 0.500, 0.500), Rb at (0.245, 0.500, 0.498), Rb at (0.246, 0.500, 0.995) and In at (0.000, 0.152, 0.000).

---

Entry 3:
DFT (PBE) results for a geometry-optimized ScAgAs3 structure.

It has space group Pm-3m (No. 221), with a = 5.081 Å, b = 5.081 Å, c = 5.081 Å, α = 90.00°, β = 90.00° and γ = 90.00°. Symmetry generates all atoms from Sc at (0.000, 0.000, 0.000), Ag at (0.500, 0.500, 0.500) and As at (0.000, 0.000, 0.500).

The relative energy among the computed polymorphs is 0.000 eV/f.u.

---

Entry 4:
DFT (PBE) results for a geometry-optimized YTcN3 structure.

It has space group I-4m2 (No. 119), with a = 3.630 Å, b = 3.630 Å, c = 20.451 Å, α = 90.00°, β = 90.00° and γ = 90.00°. Symmetry generates all atoms from Y at (0.000, 0.000, 0.112), Tc at (0.000, 0.000, 0.500), Tc at (0.000, 0.500, 0.250), N at (0.000, 0.179, 0.329) and N at (0.000, 0.500, 0.539).

The formation energy from raw total energies comes out at -337 meV per atom.

---

Entry 5:
DFT (PBE) results for a geometry-optimized Be2SbP structure.

It has space group I-42d (No. 122), with a = 5.506 Å, b = 5.506 Å, c = 9.730 Å, α = 90.00°, β = 90.00° and γ = 90.00°. Symmetry generates all atoms from Be at (0.188, 0.250, 0.125), Sb at (0.000, 0.000, 0.500) and P at (0.000, 0.000, 0.000).

The formation energy from raw total energies comes out at 134 meV per atom. The relative energy among the computed polymorphs is 0.354 eV/f.u.

---

Entry 6:
DFT (PBE) results for a geometry-optimized K3Rb2NaBr6 structure.

It has space group C2/m (No. 12), with a = 8.219 Å, b = 14.261 Å, c = 8.189 Å, α = 90.00°, β = 109.68° and γ = 90.00°. Symmetry generates all atoms from K at (0.000, 0.000, 0.000), K at (0.000, 0.331, 0.000), Rb at (0.000, 0.167, 0.500), Na at (0.000, 0.500, 0.500), Br at (0.226, 0.500, 0.255) and Br at (0.240, 0.344, 0.750).

The formation energy from raw total energies comes out at -1700 meV per atom.

---

Entry 7:
DFT (PBE) results for a geometry-optimized MgZr3Pb2 structure.

It has space group P-4m2 (No. 115), with a = 4.246 Å, b = 4.246 Å, c = 7.915 Å, α = 90.00°, β = 90.00° and γ = 90.00°. Symmetry generates all atoms from Mg at (0.000, 0.000, 0.000), Zr at (0.000, 0.500, 0.337), Zr at (0.500, 0.500, 0.000) and Pb at (0.000, 0.500, 0.719).

---

Entry 8:
DFT (PBE) results for a geometry-optimized YAl8Ga6 structure.

It has space group R-3 (No. 148, hexagonal axes), with a = 6.8169 Å, b = 6.8169 Å, c = 21.2878 Å, α = 90.00°, β = 90.00° and γ = 120.00°. Symmetry generates all atoms from Y at (0.0000, 0.0000, 0.0000), Al at (0.0000, 0.0000, 0.3626), Al at (0.0434, 0.7743, 0.1311) and Ga at (0.0353, 0.7718, 0.2589).

---

Entry 9:
DFT (PBE) results for a geometry-optimized Sm4InPt structure.

It has space group F-43m (No. 216), with a = 14.045 Å, b = 14.045 Å, c = 14.045 Å, α = 90.00°, β = 90.00° and γ = 90.00°. Symmetry generates all atoms from Sm at (0.000, 0.000, 0.187), Sm at (0.059, 0.250, 0.250), Sm at (0.101, 0.101, 0.601), In at (0.168, 0.168, 0.832) and Pt at (0.107, 0.107, 0.393).

The relative energy among the computed polymorphs is 0.000 eV/f.u.

---

Entry 10:
DFT (PBE) results for a geometry-optimized SmPuTh2Se4 structure.

It has space group P2/m (No. 10), with a = 7.152 Å, b = 4.141 Å, c = 7.359 Å, α = 90.00°, β = 109.02° and γ = 90.00°. Symmetry generates all atoms from Sm at (0.000, 0.000, 0.000), Pu at (0.500, 0.500, 0.000), Th at (0.000, 0.500, 0.500), Th at (0.500, 0.000, 0.500), Se at (0.249, 0.500, 0.243) and Se at (0.254, 0.000, 0.759).

The formation energy from raw total energies comes out at -1612 meV per atom.

---

Entry 11:
DFT (PBE) results for a geometry-optimized Sr3In6SnPb2 structure.

It has space group P-3m1 (No. 164), with a = 6.2367 Å, b = 6.2367 Å, c = 11.2242 Å, α = 90.00°, β = 90.00° and γ = 120.00°. Symmetry generates all atoms from Sr at (0.0000, 0.0000, 0.0000), Sr at (0.3333, 0.6667, 0.5682), In at (0.1696, 0.3392, 0.2668), Sn at (0.0000, 0.0000, 0.5000) and Pb at (0.3333, 0.6667, 0.0118).

---

Entry 12:
DFT (PBE) results for a geometry-optimized BePbSe2 structure.

It has space group R-3m (No. 166, hexagonal axes), with a = 3.8297 Å, b = 3.8297 Å, c = 20.4490 Å, α = 90.00°, β = 90.00° and γ = 120.00°. Symmetry generates all atoms from Be at (0.0000, 0.0000, 0.0000), Pb at (0.0000, 0.0000, 0.5000) and Se at (0.0000, 0.0000, 0.2714).

The formation energy from raw total energies comes out at -305 meV per atom. The relative energy among the computed polymorphs is 0.883 eV/f.u.

---

Number 1: uncorrected energy -3.2900 eV per atom, magnetization 0.000 μB/atom. Number 2: uncorrected energy -1.2016 eV per atom, magnetization 0.000 μB/atom. Number 3: uncorrected energy -4.3026 eV per atom, magnetization 0.000 μB/atom. Number 4: uncorrected energy -8.6984 eV per atom, magnetization 0.033 μB/atom. Number 5: uncorrected energy -4.1122 eV per atom, magnetization 0.000 μB/atom. Number 6: uncorrected energy -3.0817 eV per atom, magnetization 0.000 μB/atom. Number 7: uncorrected energy -5.8940 eV per atom, magnetization 0.000 μB/atom. Number 8: uncorrected energy -3.6481 eV per atom, magnetization 0.000 μB/atom. Number 9: uncorrected energy -5.2315 eV per atom, magnetization 0.000 μB/atom. Number 10: uncorrected energy -7.5909 eV per atom, magnetization 0.694 μB/atom. Number 11: uncorrected energy -2.9741 eV per atom, magnetization 0.000 μB/atom. Number 12: uncorrected energy -3.9054 eV per atom, magnetization 0.000 μB/atom.